1.
{"formula": "ScVCu2", "functional": "PBE", "state": "relaxed", "lattice_angstrom": [[0.122, 0.407, 4.412], [-3.210, -1.787, 2.480], [0.862, -3.537, 2.529]], "species": ["Sc", "Cu", "Cu", "V"], "frac_coords": [[0.000, 0.000, 0.000], [0.250, 0.250, 0.250], [0.750, 0.750, 0.750], [0.500, 0.500, 0.500]], "sg": "Fm-3m, No. 225", "e_tot_ev_per_atom": -5.87, "rho_g_cm3": 6.0, "volume_a3_per_cell": 61.6, "total_magnetization_mub_per_atom": 0.626, "formation_energy_ev_per_atom": 0.0435}

=====

2.
{"formula": "AcTb3Al8", "functional": "PBE", "state": "relaxed", "lattice_angstrom": [[-1.528, -4.193, 3.464], [3.534, -4.302, 0.958], [4.336, 1.787, 8.684]], "species": ["Ac", "Tb", "Tb", "Tb", "Al", "Al", "Al", "Al", "Al", "Al", "Al", "Al"], "frac_coords": [[0.875, 0.875, 0.376], [0.376, 0.376, 0.873], [0.000, 0.000, 0.999], [0.499, 0.499, 0.503], [0.942, 0.440, 0.179], [0.433, 0.936, 0.695], [0.440, 0.440, 0.179], [0.936, 0.936, 0.695], [0.186, 0.186, 0.441], [0.688, 0.688, 0.936], [0.440, 0.942, 0.179], [0.936, 0.433, 0.695]], "sg": "R3m, No. 160", "e_tot_ev_per_atom": -4.45, "rho_g_cm3": 5.9, "volume_a3_per_cell": 257.5, "total_magnetization_mub_per_atom": 0.000, "formation_energy_ev_per_atom": -0.4550}

=====

3.
{"formula": "MgNbPb2O8", "functional": "PBE", "state": "relaxed", "lattice_angstrom": [[4.945, -0.015, -0.003], [0.020, 4.947, -0.006], [0.004, 0.007, 6.592]], "species": ["Mg", "Nb", "Pb", "Pb", "O", "O", "O", "O", "O", "O", "O", "O"], "frac_coords": [[0.000, 0.000, 0.500], [0.000, 0.000, 0.000], [0.500, 0.500, 0.746], [0.500, 0.500, 0.254], [0.185, 0.815, 0.232], [0.707, 0.707, 0.000], [0.815, 0.185, 0.232], [0.815, 0.185, 0.768], [0.293, 0.293, 0.000], [0.185, 0.815, 0.768], [0.706, 0.706, 0.500], [0.294, 0.294, 0.500]], "sg": "Cmmm, No. 65", "formation_energy_uncorrected_ev_per_atom": -1.505, "e_tot_ev_per_atom": -6.40, "rho_g_cm3": 6.8, "volume_a3_per_cell": 161.3, "total_magnetization_mub_per_atom": 0.082}

=====

4.
{"formula": "NdHoGaSn", "functional": "PBE", "state": "relaxed", "lattice_angstrom": [[-3.164, -3.621, 2.208], [1.039, -5.151, -0.619], [1.718, -2.864, 4.104]], "species": ["Nd", "Ho", "Ga", "Sn"], "frac_coords": [[0.000, 0.000, 0.000], [0.500, 0.500, 0.500], [0.750, 0.750, 0.750], [0.250, 0.250, 0.250]], "sg": "F-43m, No. 216", "e_tot_ev_per_atom": -4.64, "rho_g_cm3": 7.9, "volume_a3_per_cell": 104.7, "total_magnetization_mub_per_atom": 0.000, "formation_energy_ev_per_atom": -0.5419}

=====

5.
{"formula": "SrScN2O", "functional": "PBE", "state": "relaxed", "lattice_angstrom": [[-1.233, 0.281, 4.109], [2.944, -2.939, 1.085], [2.756, 2.990, 0.622]], "species": ["Sc", "Sr", "O", "N", "N"], "frac_coords": [[0.000, 0.000, 0.000], [0.500, 0.500, 0.500], [0.000, 0.000, 0.500], [0.000, 0.500, 0.000], [0.500, 0.000, 0.000]], "sg": "P4/mmm, No. 123", "formation_energy_uncorrected_ev_per_atom": -0.879, "e_tot_ev_per_atom": -6.80, "rho_g_cm3": 3.9, "volume_a3_per_cell": 76.0, "total_magnetization_mub_per_atom": 0.596}

=====

6.
{"formula": "NaCu3Os", "functional": "PBE", "state": "relaxed", "lattice_angstrom": [[-2.684, -1.753, 3.476], [3.792, -0.223, 2.815], [-0.880, 4.386, 1.533]], "species": ["Na", "Os", "Cu", "Cu", "Cu"], "frac_coords": [[0.500, 0.500, 0.500], [0.000, 0.000, 0.000], [0.000, 0.500, 0.000], [0.000, 0.000, 0.500], [0.500, 0.000, 0.000]], "sg": "Pm-3m, No. 221", "e_tot_ev_per_atom": -3.96, "rho_g_cm3": 6.3, "volume_a3_per_cell": 105.7, "total_magnetization_mub_per_atom": 0.281, "formation_energy_ev_per_atom": 1.0099}

=====

7.
{"formula": "CaTc2BiAs", "functional": "PBE", "state": "relaxed", "lattice_angstrom": [[4.699, 0.000, 0.000], [0.000, 5.592, 0.000], [0.000, 0.000, 4.699]], "species": ["As", "Ca", "Bi", "Tc", "Tc"], "frac_coords": [[0.000, 0.000, 0.000], [0.500, 0.500, 0.500], [0.000, 0.500, 0.000], [0.000, 0.000, 0.500], [0.500, 0.000, 0.000]], "sg": "P4/mmm, No. 123", "e_tot_ev_per_atom": -5.60, "rho_g_cm3": 7.0, "volume_a3_per_cell": 123.5, "total_magnetization_mub_per_atom": 0.558, "formation_energy_ev_per_atom": 0.6491}

=====

8.
{"formula": "CsZrSc2Zn", "functional": "PBE", "state": "relaxed", "lattice_angstrom": [[-0.789, -4.549, -2.379], [4.592, 0.587, -2.646], [2.519, -2.441, 3.831]], "species": ["Cs", "Sc", "Sc", "Zn", "Zr"], "frac_coords": [[0.000, 0.000, 0.000], [0.000, 0.000, 0.500], [0.500, 0.000, 0.000], [0.500, 0.500, 0.500], [0.000, 0.500, 0.000]], "sg": "P4/mmm, No. 123", "e_tot_ev_per_atom": -2.99, "rho_g_cm3": 4.4, "volume_a3_per_cell": 143.9, "total_magnetization_mub_per_atom": 0.000, "formation_energy_ev_per_atom": 1.6731}